Compound: Na2TlFeF8
Source: the Alexandria database
Functional: PBE with a Hubbard U
Structure: optimized geometry

Output
space group: P2/m (10)
Fermi-level density of states: 0.00 states/eV/f.u.
total energy: -4.517 eV/atom
magnetic moment: 5.0 Bohr magnetons per cell

Structure (POSCAR):
```
Na2TlFeF8
1.0
5.0779 0.0000 0.0000
0.0000 6.7887 0.0000
-0.2115 0.0000 5.1174
Na Tl Fe F
2 1 1 8
direct
0.0000 0.2342 0.0000 Na
0.0000 0.7658 0.0000 Na
0.5000 0.5000 0.5000 Tl
0.5000 0.0000 0.5000 Fe
0.2008 0.5000 0.2057 F
0.2280 0.0000 0.2338 F
0.3212 0.2244 0.6814 F
0.3212 0.7756 0.6814 F
0.6788 0.2244 0.3186 F
0.6788 0.7756 0.3186 F
0.7720 0.0000 0.7662 F
0.7992 0.5000 0.7943 F
```